# 1
Material: Li4Tl2PdPt
Method: DFT, PBE
State: relaxed

Output
Its total magnetic moment is 0.000 μB/atom. As for the symmetry: P-4m2.

a = 4.5530 Å, b = 4.5530 Å, c = 6.4473 Å
α = 90.00°, β = 90.00°, γ = 90.00°
Fractional positions:
Li 0.0000 0.0000 0.0000
Li 0.0000 0.5000 0.7511
Pt 0.5000 0.5000 0.0000
Tl 0.5000 0.0000 0.7472
Pd 0.0000 0.0000 0.5000
Tl 0.0000 0.5000 0.2528
Li 0.5000 0.0000 0.2489
Li 0.5000 0.5000 0.5000

---

# 2
Material: Li2Zr2Tl2PdPt
Method: DFT, PBE
State: relaxed

Output
Its total magnetic moment is 0.001 μB/atom. As for the symmetry: P-4m2.

a = 4.6573 Å, b = 4.6573 Å, c = 6.5926 Å
α = 90.00°, β = 90.00°, γ = 90.00°
Fractional positions:
Zr 0.0000 0.5000 0.2527
Pd 0.0000 0.0000 0.0000
Li 0.0000 0.0000 0.5000
Li 0.5000 0.5000 0.0000
Zr 0.5000 0.0000 0.7473
Tl 0.5000 0.0000 0.2456
Pt 0.5000 0.5000 0.5000
Tl 0.0000 0.5000 0.7544

---

# 3
Material: Li4Zn2PdPt
Method: DFT, PBE
State: relaxed

Output
Its total magnetic moment is 0.000 μB/atom. As for the symmetry: P-4m2.

a = 4.2639 Å, b = 4.2639 Å, c = 6.0279 Å
α = 90.00°, β = 90.00°, γ = 90.00°
Fractional positions:
Pt 0.5000 0.5000 0.0000
Li 0.5000 0.5000 0.5000
Zn 0.0000 0.5000 0.7506
Li 0.0000 0.0000 0.0000
Zn 0.5000 0.0000 0.2494
Li 0.5000 0.0000 0.7501
Li 0.0000 0.5000 0.2499
Pd 0.0000 0.0000 0.5000

---

# 4
Material: LiPuPd
Method: DFT, PBE
State: relaxed

Output
Its total magnetic moment is 1.947 μB/atom. As for the symmetry: F-43m.

a = 4.4036 Å, b = 4.4036 Å, c = 4.4036 Å
α = 60.00°, β = 60.00°, γ = 60.00°
Fractional positions:
Pu 0.7500 0.7500 0.7500
Pd 0.2500 0.2500 0.2500
Li 0.0000 0.0000 0.0000

---

# 5
Material: RbLiPdS3
Method: DFT, PBE
State: relaxed

Output
As for the symmetry: Cmcm.

a = 7.4038 Å, b = 7.4038 Å, c = 9.4054 Å
α = 90.00°, β = 90.00°, γ = 150.02°
Fractional positions:
S 0.3953 0.6047 0.4657
Pd 0.0000 0.0000 0.0000
S 0.3953 0.6047 0.0343
Rb 0.7555 0.2445 0.2500
S 0.6047 0.3953 0.9657
Li 0.5206 0.4794 0.7500
Rb 0.2445 0.7555 0.7500
S 0.6047 0.3953 0.5343
Li 0.4794 0.5206 0.2500
S 0.9330 0.0670 0.7500
S 0.0670 0.9330 0.2500
Pd 0.0000 0.0000 0.5000

---

# 6
Material: RbLiPdSe3
Method: DFT, PBE
State: relaxed

Output
As for the symmetry: Cmcm.

a = 7.6657 Å, b = 7.6657 Å, c = 9.9590 Å
α = 90.00°, β = 90.00°, γ = 149.87°
Fractional positions:
Rb 0.7409 0.2591 0.7500
Pd 0.5000 0.5000 0.0000
Rb 0.2591 0.7409 0.2500
Se 0.5698 0.4302 0.2500
Li 0.9753 0.0247 0.2500
Pd 0.5000 0.5000 0.5000
Se 0.4302 0.5698 0.7500
Se 0.8919 0.1081 0.0288
Se 0.8919 0.1081 0.4712
Se 0.1081 0.8919 0.5288
Li 0.0247 0.9753 0.7500
Se 0.1081 0.8919 0.9712

---

# 7
Material: RbLiTePd
Method: DFT, PBE
State: relaxed

Output
For the energy above the most stable polymorph in this dataset, the calculation gives 0.252 eV per atom. As for the symmetry: F-43m.

a = 5.3439 Å, b = 5.3439 Å, c = 5.3439 Å
α = 60.00°, β = 60.00°, γ = 60.00°
Fractional positions:
Li 0.7500 0.7500 0.7500
Pd 0.5000 0.5000 0.5000
Rb 0.2500 0.2500 0.2500
Te 0.0000 0.0000 0.0000

---

# 8
Material: RbLiTePd
Method: DFT, PBE
State: relaxed

Output
For the energy above the most stable polymorph in this dataset, the calculation gives 0.000 eV per atom. As for the symmetry: F-43m.

a = 5.1124 Å, b = 5.1124 Å, c = 5.1124 Å
α = 60.00°, β = 60.00°, γ = 60.00°
Fractional positions:
Pd 0.2500 0.2500 0.2500
Te 0.0000 0.0000 0.0000
Rb 0.5000 0.5000 0.5000
Li 0.7500 0.7500 0.7500

---

Number 1: total energy -3.35 eV/atom. Number 2: total energy -5.10 eV/atom. Number 3: total energy -3.17 eV/atom. Number 4: total energy -7.05 eV/atom. Number 5: total energy -4.05 eV/atom. Number 6: total energy -3.75 eV/atom. Number 7: total energy -2.90 eV/atom. Number 8: total energy -3.15 eV/atom.